Compound: AlAgBi
Source: Alexandria via LeMat-Bulk
Functional: PBE
Structure: optimized geometry

Computed properties:
* symmetry: F-43m, No. 216
* calculated total energy: -3.334 eV/atom
* offset from the most stable computed form: 0.0999 eV per atom
* ΔH_f (0 K): 0.1574 eV per atom
* M_tot: 0.0 μB/f.u.
* crystal system: cubic

Cell: 4.736 4.736 4.736 Å, 60.00 60.00 60.00°
Fractional coordinates of all 3 atoms:
Al (0.250, 0.250, 0.250)
Bi (0.000, 0.000, 0.000)
Ag (0.500, 0.500, 0.500)